Record 1
# LuCdPd2

An optimized crystal structure of LuCdPd2 (GGA-PBE, Alexandria via LeMat-Bulk).

Calculated values
Spin magnetization   0.00 μB per cell
Energy of formation   -0.77 eV per atom

abc: 4.734 4.734 4.734
angles: 60.00 60.00 60.00
Fractional positions:
Lu 0.000 0.000 0.000
Pd 0.250 0.250 0.250
Pd 0.750 0.750 0.750
Cd 0.500 0.500 0.500

=====

Record 2
# PmLuCdPd

An optimized crystal structure of PmLuCdPd (GGA-PBE, Alexandria via LeMat-Bulk).

Calculated values
Spin magnetization   0.00 μB per cell
Energy of formation   -0.52 eV per atom

abc: 5.142 5.142 5.142
angles: 60.00 60.00 60.00
Fractional positions:
Pd 0.250 0.250 0.250
Cd 0.750 0.750 0.750
Pm 0.000 0.000 0.000
Lu 0.500 0.500 0.500

=====

Record 3
# LuCdPdPt

An optimized crystal structure of LuCdPdPt (GGA-PBE, Alexandria via LeMat-Bulk).

Calculated values
Spin magnetization   0.00 μB per cell
Energy of formation   -0.86 eV per atom

abc: 4.735 4.735 4.735
angles: 60.00 60.00 60.00
Fractional positions:
Pd 0.250 0.250 0.250
Lu 0.000 0.000 0.000
Cd 0.500 0.500 0.500
Pt 0.750 0.750 0.750

=====

Q: spin magnetization of number 3 (LuCdPdPt)?
A: 0.00 μB per cell